1.
Compound: Pr6Ho2Tm
Source: Alexandria via LeMat-Bulk
Functional: PBE
Structure: relaxed

The space group is Cmmm (No. 65) and the conventional cell measures 9.4804, 17.8139 and 3.6821 Å, with angles of 90.00, 90.00 and 90.00 degrees. The distinct sites, in fractional coordinates, are Pr at (0.1749, 0.1658, 0.0000), Pr at (0.1854, 0.0000, 0.5000), Ho at (0.0000, 0.3261, 0.5000) and Tm at (0.0000, 0.5000, 0.0000).

The value obtained for the magnetic moment is 0.0 μB/cell. Its energy relative to the lowest polymorph listed for this composition is 4.6 kJ/mol of atoms. The formation energy from the elements comes out at 0.1287 eV per atom.


2.
Compound: Sr2PmDySe4
Source: Alexandria via LeMat-Bulk
Functional: PBE
Structure: relaxed

The space group is P2/m (No. 10) and the conventional cell measures 7.3381, 4.2378 and 7.5089 Å, with angles of 90.00, 109.01 and 90.00 degrees. The distinct sites, in fractional coordinates, are Sr at (0.0000, 0.0000, 0.0000), Sr at (0.5000, 0.5000, 0.0000), Pm at (0.0000, 0.5000, 0.5000), Dy at (0.5000, 0.0000, 0.5000), Se at (0.2510, 0.0000, 0.7364) and Se at (0.2608, 0.5000, 0.2673).

The value obtained for the magnetic moment is 0.0 μB/cell. The calculation puts the formation energy without anion corrections at -15.18 eV/f.u.


3.
Compound: Y5PdSe4
Source: Alexandria via LeMat-Bulk
Functional: PBE
Structure: relaxed

The space group is C2/m (No. 12) and the conventional cell measures 13.7946, 4.0309 and 10.1506 Å, with angles of 90.00, 120.06 and 90.00 degrees. The distinct sites, in fractional coordinates, are Y at (0.0000, 0.0000, 0.0000), Y at (0.0943, 0.5000, 0.4030), Y at (0.1973, 0.0000, 0.7953), Pd at (0.0000, 0.0000, 0.5000), Se at (0.1033, 0.5000, 0.9068) and Se at (0.1974, 0.0000, 0.3000).

The value obtained for the magnetic moment is 0.0 μB/cell. The calculation puts the formation energy without anion corrections at -15.90 eV/f.u.


4.
Compound: Ba6TeAu2I3
Source: Alexandria via LeMat-Bulk
Functional: PBE
Structure: relaxed

The space group is C2/m (No. 12) and the conventional cell measures 8.4201, 14.5836 and 9.1356 Å, with angles of 90.00, 107.97 and 90.00 degrees. The distinct sites, in fractional coordinates, are Ba at (0.2230, 0.0000, 0.2135), Ba at (0.2452, 0.3258, 0.2147), Te at (0.0000, 0.5000, 0.0000), Au at (0.0000, 0.1672, 0.0000), I at (0.0000, 0.0000, 0.5000) and I at (0.0000, 0.3399, 0.5000).

The value obtained for the magnetic moment is 0.0 μB/cell. The calculation puts the formation energy without anion corrections at -14.48 eV/f.u.


5.
Compound: Pu5NpTe8
Source: Alexandria via LeMat-Bulk
Functional: PBE
Structure: relaxed

The space group is I-4 (No. 82) and the conventional cell measures 9.3627, 9.3627 and 9.3555 Å, with angles of 90.00, 90.00 and 90.00 degrees. The distinct sites, in fractional coordinates, are Pu at (0.0000, 0.0000, 0.0000), Pu at (0.1253, 0.2500, 0.3740), Np at (0.0000, 0.5000, 0.7500), Te at (0.0761, 0.3271, 0.0484) and Te at (0.0765, 0.1745, 0.7004).

The value obtained for the magnetic moment is 24.4 μB/cell. The calculation puts the formation energy without anion corrections at -13.86 eV/f.u.


6.
Compound: ScVTe2I
Source: Alexandria via LeMat-Bulk
Functional: PBE
Structure: relaxed

The space group is P4/mmm (No. 123) and the conventional cell measures 5.3455, 5.3455 and 5.3369 Å, with angles of 90.00, 90.00 and 90.00 degrees. The distinct sites, in fractional coordinates, are Sc at (0.0000, 0.0000, 0.0000), V at (0.5000, 0.5000, 0.5000), Te at (0.0000, 0.5000, 0.5000) and I at (0.5000, 0.5000, 0.0000).

The value obtained for the magnetic moment is 3.1 μB/cell. Its energy relative to the lowest polymorph listed for this composition is 0.0 kJ/mol of atoms. The calculation puts the formation energy without anion corrections at 0.23 eV/f.u.


Copy entry 3 word for word.
Compound: Y5PdSe4
Source: Alexandria via LeMat-Bulk
Functional: PBE
Structure: relaxed

The space group is C2/m (No. 12) and the conventional cell measures 13.7946, 4.0309 and 10.1506 Å, with angles of 90.00, 120.06 and 90.00 degrees. The distinct sites, in fractional coordinates, are Y at (0.0000, 0.0000, 0.0000), Y at (0.0943, 0.5000, 0.4030), Y at (0.1973, 0.0000, 0.7953), Pd at (0.0000, 0.0000, 0.5000), Se at (0.1033, 0.5000, 0.9068) and Se at (0.1974, 0.0000, 0.3000).

The value obtained for the magnetic moment is 0.0 μB/cell. The calculation puts the formation energy without anion corrections at -15.90 eV/f.u.